1.
Entry from the Alexandria database: a geometry-optimized NpAsAu structure (PBE-GGA).

Unit cell a=3.945 b=3.945 c=9.205 alpha=77.63 beta=77.63 gamma=60.00
Positions (direct):
Au 0.865 0.865 0.404
Au 0.135 0.135 0.596
Np 0.687 0.687 0.940
Np 0.313 0.313 0.060
As 0.580 0.580 0.261
As 0.420 0.420 0.739

Output
* formation energy from the elements: -26 meV/atom
* space group: R-3m


2.
Entry from the Alexandria database: a geometry-optimized CdIn2Ag4 structure (PBE-GGA).

Unit cell a=7.715 b=7.827 c=6.123 alpha=111.48 beta=111.66 gamma=105.10
Positions (direct):
In 0.801 0.282 0.719
In 0.650 0.549 0.275
In 0.518 0.877 0.087
In 0.217 0.387 0.692
Ag 0.640 0.590 0.772
Ag 0.361 0.124 0.872
Ag 0.518 0.871 0.576
Ag 0.947 0.939 0.337
Ag 0.237 0.414 0.210
Ag 0.360 0.138 0.382
Ag 0.113 0.698 0.034
Ag 0.823 0.235 0.179
Cd 0.104 0.681 0.506
Cd 0.961 0.963 0.860

Output
* offset from the most stable computed form: 0 meV per atom
* formation energy from the elements: -10 meV/atom
* space group: P1


3.
Entry from the Alexandria database: a geometry-optimized YH2PdO4 structure (PBE-GGA).

Unit cell a=4.901 b=4.713 c=4.713 alpha=69.71 beta=58.67 gamma=58.67
Positions (direct):
O 0.585 0.585 0.840
O 0.415 0.160 0.415
O 0.010 0.415 0.160
O 0.990 0.840 0.585
H 0.208 0.292 0.292
H 0.792 0.708 0.708
Y 0.000 0.000 0.000
Pd 0.500 0.500 0.500

Output
* space group: I222


4.
Entry from the Alexandria database: a geometry-optimized Sc6InGe2Se3 structure (PBE-GGA).

Unit cell a=3.888 b=8.000 c=8.970 alpha=108.32 beta=102.52 gamma=90.00
Positions (direct):
Sc 0.327 0.917 0.653
Sc 0.328 0.434 0.655
Sc 0.673 0.083 0.347
Sc 0.672 0.566 0.345
Sc 0.997 0.268 0.994
Sc 0.003 0.732 0.006
In 0.500 0.000 0.000
Ge 0.839 0.683 0.678
Ge 0.161 0.317 0.322
Se 0.500 0.500 0.000
Se 0.167 0.823 0.334
Se 0.833 0.177 0.666

Output
* E_form (uncorrected): -1.118 eV/atom
* space group: C2/m


| no. | final energy (eV/cell) |
| --- | --- |
| 1 | -41.890 |
| 2 | -35.732 |
| 3 | -49.123 |
| 4 | -73.834 |